(one)
PmTm3Pt | GGA-PBE | optimized geometry

Summary:
- SG = P2_1/m

abc: 7.351 4.700 8.477
angles: 90.00 102.54 90.00
Fractional positions:
Pm  0.151  0.250  0.125
Pm  0.849  0.750  0.875
Tm  0.061  0.250  0.659
Tm  0.345  0.750  0.910
Tm  0.486  0.750  0.346
Tm  0.514  0.250  0.654
Tm  0.655  0.250  0.090
Tm  0.939  0.750  0.341
Pt  0.269  0.750  0.581
Pt  0.731  0.250  0.419


(two)
PmTm3Pt | GGA-PBE | optimized geometry

Summary:
- SG = Pm-3m

abc: 5.418 5.418 5.418
angles: 90.00 90.00 90.00
Fractional positions:
Pm  0.000  0.000  0.000
Tm  0.000  0.500  0.500
Tm  0.500  0.000  0.500
Tm  0.500  0.500  0.000
Pt  0.500  0.500  0.500


We find (one) to be the most stable, with the next structure 0.125 eV/atom higher.